[1]
A relaxed K3SrRh crystal. Source: the Alexandria database, functional PBE-GGA.

Unit cell a=7.270 b=7.270 c=7.270 alpha=90.00 beta=90.00 gamma=90.00
Fractional positions:
K 0.000 0.000 0.500
K 0.000 0.500 0.000
K 0.500 0.000 0.000
Sr 0.000 0.000 0.000
Rh 0.500 0.500 0.500

## Properties
Density (Mg/m³): 1.33
Space-group type: Pm-3m, No. 221
Energy of formation (kJ per mole of atoms): 134


[2]
A relaxed KSrRh2 crystal. Source: the Alexandria database, functional PBE-GGA.

Unit cell a=3.274 b=3.274 c=29.575 alpha=90.00 beta=90.00 gamma=120.00
Fractional positions:
K 0.000 0.000 0.000
K 0.333 0.667 0.667
K 0.667 0.333 0.333
Sr 0.000 0.000 0.500
Sr 0.333 0.667 0.167
Sr 0.667 0.333 0.833
Rh 0.000 0.000 0.244
Rh 0.000 0.000 0.756
Rh 0.333 0.667 0.422
Rh 0.333 0.667 0.911
Rh 0.667 0.333 0.089
Rh 0.667 0.333 0.578

## Properties
Density (Mg/m³): 6.03
Energy above the most stable polymorph in this dataset (kJ per mole of atoms): 45.9
Space-group type: R-3m, No. 166
Energy of formation (kJ per mole of atoms): 55


[3]
A relaxed K2SrRh crystal. Source: the Alexandria database, functional PBE-GGA.

Unit cell a=8.062 b=8.062 c=8.062 alpha=90.00 beta=90.00 gamma=90.00
Fractional positions:
K 0.000 0.000 0.000
K 0.000 0.500 0.500
K 0.250 0.250 0.250
K 0.250 0.750 0.750
K 0.500 0.000 0.500
K 0.500 0.500 0.000
K 0.750 0.250 0.750
K 0.750 0.750 0.250
Sr 0.000 0.000 0.500
Sr 0.000 0.500 0.000
Sr 0.500 0.000 0.000
Sr 0.500 0.500 0.500
Rh 0.250 0.250 0.750
Rh 0.250 0.750 0.250
Rh 0.750 0.250 0.250
Rh 0.750 0.750 0.750

## Properties
Density (Mg/m³): 3.41
Space-group type: F-43m, No. 216
Energy of formation (kJ per mole of atoms): 39


[4]
A relaxed K2SrRh crystal. Source: the Alexandria database, functional PBE-GGA.

Unit cell a=4.742 b=4.742 c=12.165 alpha=90.00 beta=90.00 gamma=90.00
Fractional positions:
K 0.000 0.500 0.250
K 0.000 0.500 0.750
K 0.500 0.000 0.250
K 0.500 0.000 0.750
Sr 0.000 0.000 0.000
Sr 0.500 0.500 0.500
Rh 0.000 0.000 0.500
Rh 0.500 0.500 0.000

## Properties
Density (Mg/m³): 3.26
Space-group type: I4/mmm, No. 139
Energy of formation (kJ per mole of atoms): 42


[5]
A relaxed KSrRh2 crystal. Source: the Alexandria database, functional PBE-GGA.

Unit cell a=4.426 b=4.426 c=4.607 alpha=90.00 beta=90.00 gamma=90.00
Fractional positions:
K 0.000 0.000 0.000
Sr 0.500 0.500 0.000
Rh 0.000 0.500 0.500
Rh 0.500 0.000 0.500

## Properties
Density (Mg/m³): 6.12
Energy above the most stable polymorph in this dataset (kJ per mole of atoms): 41.8
Space-group type: P4/mmm, No. 123
Energy of formation (kJ per mole of atoms): 51


[6]
A relaxed KSr2Rh2 crystal. Source: the Alexandria database, functional PBE-GGA.

Unit cell a=5.525 b=5.525 c=10.090 alpha=90.00 beta=90.00 gamma=90.00
Fractional positions:
K 0.000 0.000 0.000
K 0.500 0.500 0.500
Sr 0.000 0.500 0.250
Sr 0.000 0.500 0.750
Sr 0.500 0.000 0.250
Sr 0.500 0.000 0.750
Rh 0.000 0.000 0.374
Rh 0.000 0.000 0.626
Rh 0.500 0.500 0.126
Rh 0.500 0.500 0.874

## Properties
Density (Mg/m³): 4.53
Space-group type: I4/mmm, No. 139
Energy of formation (kJ per mole of atoms): 20


[7]
A relaxed KSrRh crystal. Source: the Alexandria database, functional PBE-GGA.

Unit cell a=3.729 b=3.729 c=15.210 alpha=90.00 beta=90.00 gamma=90.00
Fractional positions:
K 0.000 0.000 0.000
K 0.500 0.500 0.500
Sr 0.000 0.000 0.239
Sr 0.500 0.500 0.739
Rh 0.000 0.000 0.645
Rh 0.500 0.500 0.145

## Properties
Density (Mg/m³): 3.61
Space-group type: I4mm, No. 107
Energy of formation (kJ per mole of atoms): 20


[8]
A relaxed KSrRh2 crystal. Source: the Alexandria database, functional PBE-GGA.

Unit cell a=7.204 b=7.204 c=7.204 alpha=90.00 beta=90.00 gamma=90.00
Fractional positions:
K 0.000 0.000 0.000
K 0.000 0.500 0.500
K 0.500 0.000 0.500
K 0.500 0.500 0.000
Sr 0.000 0.000 0.500
Sr 0.000 0.500 0.000
Sr 0.500 0.000 0.000
Sr 0.500 0.500 0.500
Rh 0.250 0.250 0.250
Rh 0.250 0.250 0.750
Rh 0.250 0.750 0.250
Rh 0.250 0.750 0.750
Rh 0.750 0.250 0.250
Rh 0.750 0.250 0.750
Rh 0.750 0.750 0.250
Rh 0.750 0.750 0.750

## Properties
Density (Mg/m³): 5.91
Energy above the most stable polymorph in this dataset (kJ per mole of atoms): 46.0
Space-group type: Fm-3m, No. 225
Energy of formation (kJ per mole of atoms): 55


[9]
A relaxed K2SrRh crystal. Source: the Alexandria database, functional PBE-GGA.

Unit cell a=6.222 b=7.566 c=6.051 alpha=90.00 beta=90.00 gamma=90.00
Fractional positions:
K 0.000 0.205 0.000
K 0.000 0.795 0.000
K 0.500 0.295 0.000
K 0.500 0.705 0.000
Sr 0.000 0.500 0.500
Sr 0.500 0.000 0.500
Rh 0.000 0.000 0.500
Rh 0.500 0.500 0.500

## Properties
Density (Mg/m³): 3.13
Space-group type: Cmmm, No. 65
Energy of formation (kJ per mole of atoms): 44


[10]
A relaxed KSrRh2 crystal. Source: the Alexandria database, functional PBE-GGA.

Unit cell a=10.718 b=4.438 c=7.302 alpha=90.00 beta=125.56 gamma=90.00
Fractional positions:
K 0.000 0.000 0.000
K 0.500 0.500 0.000
Sr 0.000 0.500 0.500
Sr 0.500 0.000 0.500
Rh 0.249 0.500 0.437
Rh 0.251 0.000 0.563
Rh 0.749 0.000 0.437
Rh 0.751 0.500 0.563

## Properties
Density (Mg/m³): 3.91
Energy above the most stable polymorph in this dataset (kJ per mole of atoms): 15.4
Space-group type: C2/m, No. 12
Energy of formation (kJ per mole of atoms): 25


[11]
A relaxed KSr4Rh crystal. Source: the Alexandria database, functional PBE-GGA.

Unit cell a=7.373 b=7.373 c=7.373 alpha=60.00 beta=60.00 gamma=60.00
Fractional positions:
K 0.000 0.000 0.000
Sr 0.376 0.376 0.376
Sr 0.376 0.376 0.871
Sr 0.376 0.871 0.376
Sr 0.871 0.376 0.376
Rh 0.750 0.750 0.750

## Properties
Density (Mg/m³): 2.89
Space-group type: F-43m, No. 216
Energy of formation (kJ per mole of atoms): 71


[12]
A relaxed K2SrRh crystal. Source: the Alexandria database, functional PBE-GGA.

Unit cell a=10.058 b=3.861 c=9.700 alpha=90.00 beta=106.14 gamma=90.00
Fractional positions:
K 0.000 0.000 0.000
K 0.160 0.000 0.606
K 0.500 0.500 0.000
K 0.660 0.500 0.606
Sr 0.321 0.500 0.303
Sr 0.821 0.000 0.303
Rh 0.039 0.500 0.302
Rh 0.539 0.000 0.302

## Properties
Density (Mg/m³): 2.47
Space-group type: Cm, No. 8
Energy of formation (kJ per mole of atoms): 22